An optimized crystal structure of BaMn2FeO. Source: Alexandria, functional PBE+U.

The total energy comes out at -3.49 eV/atom.

The space group is P4/mmm (No. 123) and the conventional cell measures 6.9759, 6.9759 and 5.9448 Å, with angles of 90.00, 90.00 and 90.00 degrees. The asymmetric unit holds Ba at (0.0000, 0.0000, 0.0000), Mn at (0.0000, 0.5000, 0.0000), Fe at (0.0000, 0.0000, 0.5000) and O at (0.5000, 0.5000, 0.5000).